This record from Alexandria describes a relaxed K2MnAs2 crystal. The functional is PBE.

Properties
Fermi-level density of states in states/eV/atom: 0.381
Energy in eV for the cell shown: -43.087
Calculated formation energy in kcal/mol of atoms: -4.1
Crystal system: tetragonal
Space group: No. 127

Geometry as POSCAR:
```
K2MnAs2
1.0
6.8026 0.0000 0.0000
0.0000 6.8026 0.0000
0.0000 0.0000 5.5593
K Mn As
4 2 4
direct
0.1699 0.3301 0.0000
0.3301 0.8301 0.0000
0.6699 0.1699 0.0000
0.8301 0.6699 0.0000
0.0000 0.0000 0.5000
0.5000 0.5000 0.5000
0.1347 0.6347 0.5000
0.3653 0.1347 0.5000
0.6347 0.8653 0.5000
0.8653 0.3653 0.5000
```


This record from Alexandria describes a relaxed K2MnAs crystal. The functional is PBE.

Properties
Fermi-level density of states in states/eV/atom: 0.467
Energy in eV for the cell shown: -14.599
Calculated formation energy in kcal/mol of atoms: 8.2
Crystal system: tetragonal
Space group: No. 139

Geometry as POSCAR:
```
K2MnAs
1.0
-2.2410 2.2410 5.3056
2.2410 -2.2410 5.3056
2.2410 2.2410 -5.3056
K Mn As
2 1 1
direct
0.2500 0.7500 0.5000
0.7500 0.2500 0.5000
0.0000 0.0000 0.0000
0.5000 0.5000 0.0000
```


This record from Alexandria describes a relaxed KMn4As crystal. The functional is PBE.

Properties
Fermi-level density of states in states/eV/atom: 0.681
Energy in eV for the cell shown: -37.821
Calculated formation energy in kcal/mol of atoms: 17.7
Crystal system: cubic
Space group: No. 216

Geometry as POSCAR:
```
KMn4As
1.0
0.0000 3.8973 3.8973
3.8973 0.0000 3.8973
3.8973 3.8973 0.0000
K Mn As
1 4 1
direct
0.0000 0.0000 0.0000
0.1273 0.6242 0.6242
0.6242 0.1273 0.6242
0.6242 0.6242 0.1273
0.6242 0.6242 0.6242
0.2500 0.2500 0.2500
```


This record from Alexandria describes a relaxed KMn2As crystal. The functional is PBE.

Properties
Fermi-level density of states in states/eV/atom: 0.873
Energy in eV for the cell shown: -45.111
Calculated formation energy in kcal/mol of atoms: 8.8
Crystal system: tetragonal
Space group: No. 141

Geometry as POSCAR:
```
KMn2As
1.0
-2.6479 2.6479 8.2127
2.6479 -2.6479 8.2127
2.6479 2.6479 -8.2127
K Mn As
2 4 2
direct
0.3750 0.6250 0.7500
0.6250 0.3750 0.2500
0.0000 0.0000 0.0000
0.0000 0.0000 0.5000
0.0000 0.5000 0.0000
0.5000 0.0000 0.5000
0.1250 0.8750 0.2500
0.8750 0.1250 0.7500
```